[1]
CoAsRu2: relaxed, GGA-PBEsol.

## Properties
- Energy of formation from the pure elements: 0.14 eV/atom

a = 2.7433 Å, b = 3.5907 Å, c = 5.2132 Å
α = 90.00°, β = 90.00°, γ = 90.00°
Atoms (fractional coordinates):
Co: 0.0000 0.0000 0.0000
As: 0.5000 0.5000 0.7645
Ru: 0.0000 0.0000 0.4875
Ru: 0.5000 0.5000 0.2335

[2]
CoAsRu: relaxed, GGA-PBEsol.

## Properties
- Energy of formation from the pure elements: 0.44 eV/atom
- Offset from the most stable computed form: 69 kJ/mol of formula units

a = 6.1424 Å, b = 5.8782 Å, c = 2.7707 Å
α = 82.06°, β = 71.41°, γ = 26.54°
Atoms (fractional coordinates):
Co: 0.0000 0.0000 0.0000
As: 0.6504 0.6504 0.3496
Ru: 0.3201 0.3201 0.6799

[3]
TiCoAs2Ru: relaxed, GGA-PBEsol.

## Properties
- Energy of formation from the pure elements: 0.66 eV/atom

a = 4.4166 Å, b = 4.4166 Å, c = 4.3271 Å
α = 90.00°, β = 90.00°, γ = 90.00°
Atoms (fractional coordinates):
Ti: 0.0000 0.0000 0.0000
Co: 0.5000 0.5000 0.5000
As: 0.0000 0.5000 0.5000
As: 0.5000 0.0000 0.5000
Ru: 0.5000 0.5000 0.0000

[4]
CoAsS: relaxed, GGA-PBEsol.

## Properties
- Offset from the most stable computed form: 1 kJ/mol of formula units

a = 5.4964 Å, b = 5.4964 Å, c = 5.4964 Å
α = 90.00°, β = 90.00°, γ = 90.00°
Atoms (fractional coordinates):
Co: 0.0091 0.0091 0.0091
Co: 0.4909 0.9909 0.5091
Co: 0.5091 0.4909 0.9909
Co: 0.9909 0.5091 0.4909
As: 0.1226 0.6226 0.8774
As: 0.3774 0.3774 0.3774
As: 0.6226 0.8774 0.1226
As: 0.8774 0.1226 0.6226
S: 0.1200 0.8800 0.3800
S: 0.3800 0.1200 0.8800
S: 0.6200 0.6200 0.6200
S: 0.8800 0.3800 0.1200

[5]
CoAsS: relaxed, GGA-PBEsol.

## Properties
- Offset from the most stable computed form: 2 kJ/mol of formula units

a = 3.4384 Å, b = 4.5314 Å, c = 5.4932 Å
α = 90.00°, β = 90.00°, γ = 90.00°
Atoms (fractional coordinates):
Co: 0.0000 0.2345 0.0000
Co: 0.5000 0.7655 0.5000
As: 0.0000 0.4613 0.3737
As: 0.5000 0.5387 0.8737
S: 0.0000 0.0466 0.6292
S: 0.5000 0.9534 0.1292

[6]
CoAsS: relaxed, GGA-PBEsol.

## Properties
- Offset from the most stable computed form: 0 kJ/mol of formula units

a = 5.4982 Å, b = 5.5039 Å, c = 5.4931 Å
α = 90.00°, β = 90.00°, γ = 90.00°
Atoms (fractional coordinates):
Co: 0.0077 0.2379 0.0000
Co: 0.4923 0.2379 0.5000
Co: 0.5077 0.7621 0.0000
Co: 0.9923 0.7621 0.5000
As: 0.1222 0.6287 0.8808
As: 0.3778 0.6287 0.3808
As: 0.6222 0.3713 0.8808
As: 0.8778 0.3713 0.3808
S: 0.1195 0.1281 0.6226
S: 0.3805 0.1281 0.1226
S: 0.6195 0.8719 0.6226
S: 0.8805 0.8719 0.1226

[7]
Co2SbAs: relaxed, GGA-PBEsol.

a = 4.2456 Å, b = 4.2456 Å, c = 3.1265 Å
α = 90.00°, β = 90.00°, γ = 90.00°
Atoms (fractional coordinates):
Co: 0.0000 0.5000 0.0000
Co: 0.5000 0.0000 0.0000
Sb: 0.0000 0.0000 0.5000
As: 0.5000 0.5000 0.5000

[8]
Co2SbAs: relaxed, GGA-PBEsol.

a = 6.2295 Å, b = 6.2295 Å, c = 6.2295 Å
α = 152.90°, β = 147.67°, γ = 42.68°
Atoms (fractional coordinates):
Co: 0.0000 0.0000 0.0000
Co: 0.8035 0.3035 0.5000
Sb: 0.1872 0.6872 0.5000
As: 0.4399 0.4399 0.0000

[9]
CoSb2TeAs: relaxed, GGA-PBEsol.

a = 4.7348 Å, b = 4.7348 Å, c = 5.1992 Å
α = 90.00°, β = 90.00°, γ = 90.00°
Atoms (fractional coordinates):
Co: 0.0000 0.0000 0.0000
Sb: 0.0000 0.5000 0.0000
Sb: 0.5000 0.0000 0.0000
Te: 0.0000 0.0000 0.5000
As: 0.5000 0.5000 0.5000

[10]
ScCo2As: relaxed, GGA-PBEsol.

## Properties
- Energy of formation from the pure elements: -0.36 eV/atom

a = 4.7493 Å, b = 4.7493 Å, c = 4.7493 Å
α = 135.54°, β = 135.54°, γ = 64.69°
Atoms (fractional coordinates):
Sc: 0.0000 0.0000 0.0000
Co: 0.2500 0.7500 0.5000
Co: 0.5000 0.5000 0.0000
As: 0.7500 0.2500 0.5000

[11]
ScCoAs: relaxed, GGA-PBEsol.

## Properties
- Energy of formation from the pure elements: -0.83 eV/atom

a = 3.9862 Å, b = 3.9862 Å, c = 3.2621 Å
α = 90.00°, β = 90.00°, γ = 120.00°
Atoms (fractional coordinates):
Sc: 0.0000 0.0000 0.0000
Co: 0.6667 0.3333 0.5000
As: 0.3333 0.6667 0.5000

[12]
ScCo4As: relaxed, GGA-PBEsol.

## Properties
- Energy of formation from the pure elements: -0.14 eV/atom

a = 4.7164 Å, b = 4.7164 Å, c = 4.7164 Å
α = 60.00°, β = 60.00°, γ = 60.00°
Atoms (fractional coordinates):
Sc: 0.0000 0.0000 0.0000
Co: 0.3752 0.3752 0.3752
Co: 0.3752 0.3752 0.8742
Co: 0.3752 0.8742 0.3752
Co: 0.8742 0.3752 0.3752
As: 0.7500 0.7500 0.7500

Calculated total energy: -8.15; -7.24; -6.63; -6.30; -6.30; -6.30; -6.10; -6.32; -4.69; -7.16; -7.32; -7.25 (eV/atom)